This record from Alexandria via LeMat-Bulk describes LiCrNi3 after structural relaxation. The functional is GGA-PBE.

Offset from the most stable computed form (meV per atom): 41
SG: Pm-3m
Total magnetization (Bohr magnetons per cell): 0.044
Uncorrected energy (Ry per atom): -0.35607

Structure (POSCAR):
```
LiCrNi3
1.0
3.8601 0.0000 0.0000
0.0000 3.8601 0.0000
0.0000 0.0000 3.8601
Ni Cr Li
3 1 1
direct
0.5000 0.0000 0.0000
0.0000 0.0000 0.5000
0.0000 0.5000 0.0000
0.5000 0.5000 0.5000
0.0000 0.0000 0.0000
```